A relaxed structure of Na2ReWO6. Source: the Alexandria database, functional PBE+U.

The structure belongs to space group P4/mmm (No. 123); the cell edges are 5.551, 5.551 and 3.907 Å and the angles 90.00°, 90.00° and 90.00°. The distinct sites, in fractional coordinates, are Na at (0.000, 0.500, 0.000), Re at (0.000, 0.000, 0.500), W at (0.500, 0.500, 0.500), O at (0.000, 0.000, 0.000), O at (0.252, 0.252, 0.500) and O at (0.500, 0.500, 0.000).

Its magnetic moment is 0.00 μB/f.u. The value obtained for the total energy is -7.028 eV per atom.